VASP calculation (GGA-PBE) on CoTeI2N after structural relaxation.

The space group is P4/mmm (No. 123) and the conventional cell measures 5.644, 5.644 and 3.517 Å, with angles of 90.00, 90.00 and 90.00 degrees. The asymmetric unit holds Co at (0.000, 0.000, 0.000), Te at (0.500, 0.500, 0.500), I at (0.000, 0.500, 0.000) and N at (0.000, 0.000, 0.500).

The calculation puts the total energy at -3.760 eV/atom. As for the energy relative to the elements, uncorrected: 575 meV per atom. For the magnetic moment, the calculation gives 0.01 μB per atom.


VASP calculation (GGA-PBE) on Zr4RuRh3 after structural relaxation.

The space group is C2/m (No. 12) and the conventional cell measures 14.146, 4.626 and 4.627 Å, with angles of 90.00, 108.98 and 90.00 degrees. The asymmetric unit holds Zr at (0.124, 0.000, 0.124), Zr at (0.124, 0.500, 0.624), Ru at (0.000, 0.000, 0.500), Rh at (0.000, 0.500, 0.000) and Rh at (0.248, 0.000, 0.749).

The calculation puts the total energy at -8.911 eV/atom. For the magnetic moment, the calculation gives 0.00 μB per atom.


Copy entry 1 word for word.
VASP calculation (GGA-PBE) on CoTeI2N after structural relaxation.

The space group is P4/mmm (No. 123) and the conventional cell measures 5.644, 5.644 and 3.517 Å, with angles of 90.00, 90.00 and 90.00 degrees. The asymmetric unit holds Co at (0.000, 0.000, 0.000), Te at (0.500, 0.500, 0.500), I at (0.000, 0.500, 0.000) and N at (0.000, 0.000, 0.500).

The calculation puts the total energy at -3.760 eV/atom. As for the energy relative to the elements, uncorrected: 575 meV per atom. For the magnetic moment, the calculation gives 0.01 μB per atom.


The highest magnetic moment belongs to which entry?
CoTeI2N